1.
Crystalline MgZr2Pt at its relaxed geometry. Source: the Alexandria database, functional PBE-GGA.

Summary:
Electronic total energy = -6.47 eV/atom
Energy of formation = -112 kJ/mol of formula units
Magnetization = 2.1 μB per formula unit

Structure (extended XYZ):
```
4
Lattice="-4.7849 -0.3162 -0.0229 -2.1180 -4.2813 -0.4251 -2.2938 -1.9229 3.7466" Properties=species:S:1:pos:R:3 pbc="T T T"
Zr -2.2992 -1.6301 0.8247
Zr 0.0000 0.0000 0.0000
Mg -4.5984 -3.2601 1.6493
Pt -6.8976 -4.8902 2.4740
```

***

2.
Crystalline Mg2ZrPt4 at its relaxed geometry. Source: the Alexandria database, functional PBE-GGA.

Summary:
Electronic total energy = -5.92 eV/atom
Energy of formation = -533 kJ/mol of formula units
Magnetization = 0.0 μB per formula unit

Structure (extended XYZ):
```
7
Lattice="3.8858 0.0000 -1.2387 -0.3949 3.8657 -1.2387 0.4109 0.4551 8.0035" Properties=species:S:1:pos:R:3 pbc="T T T"
Pt 1.4187 3.7224 4.4505
Pt 0.3429 2.5312 1.0756
Pt 3.5590 1.7896 4.4505
Pt 2.4832 0.5983 1.0756
Mg 1.0952 1.2128 3.4358
Mg 2.8067 3.1079 2.0903
Zr 0.0000 0.0000 0.0000
```

***

3.
Crystalline MgZr2Pt at its relaxed geometry. Source: the Alexandria database, functional PBE-GGA.

Summary:
Electronic total energy = -6.42 eV/atom
Energy of formation = -91 kJ/mol of formula units
Magnetization = 0.0 μB per formula unit

Structure (extended XYZ):
```
4
Lattice="10.0942 -0.0131 -0.0077 9.6199 3.0577 -0.0077 9.6199 1.4857 2.6725" Properties=species:S:1:pos:R:3 pbc="T T T"
Zr 14.4483 2.2314 1.3088
Zr 0.2187 0.0338 0.0198
Pt 22.0005 3.3977 1.9929
Mg 7.3335 1.1326 0.6643
```

***

4.
Crystalline MgZr2Pt3 at its relaxed geometry. Source: the Alexandria database, functional PBE-GGA.

Summary:
Electronic total energy = -7.06 eV/atom
Energy of formation = -537 kJ/mol of formula units
Magnetization = 0.0 μB per formula unit

Structure (extended XYZ):
```
12
Lattice="4.7775 0.0001 0.0189 2.3889 7.1860 0.0094 -0.0251 0.0000 6.3665" Properties=species:S:1:pos:R:3 pbc="T T T"
Pt 4.7586 2.4198 4.7708
Pt 2.3824 0.0000 1.5894
Pt 4.7712 2.4198 1.6335
Pt 2.3826 4.7663 1.6241
Pt 2.3700 4.7663 4.7613
Pt 2.3700 0.0000 4.7960
Mg 4.7776 4.7529 0.0189
Mg 2.3887 2.4332 0.0094
Zr 4.7650 4.8114 3.2021
Zr -0.0126 0.0000 3.1833
Zr 0.0000 0.0000 0.0000
Zr 2.3762 2.3747 3.1927
```

***

5.
Crystalline PuMg at its relaxed geometry. Source: the Alexandria database, functional PBE-GGA.

Summary:
Electronic total energy = -7.81 eV/atom
Energy of formation = 30 kJ/mol of formula units
Magnetization = 0.0 μB per formula unit

Structure (extended XYZ):
```
4
Lattice="-1.3099 1.3327 -2.3026 2.4129 -1.5769 -2.2854 -4.5169 -6.2068 -0.4862" Properties=species:S:1:pos:R:3 pbc="T T T"
Pu -2.4353 -1.8954 -2.7436
Pu -0.9787 -4.5556 -2.3307
Mg 0.8646 -1.6224 -2.4085
Mg -4.2785 -4.8286 -2.6658
```

***

6.
Crystalline PuMg6 at its relaxed geometry. Source: the Alexandria database, functional PBE-GGA.

Summary:
Electronic total energy = -2.64 eV/atom
Energy of formation = 523 kJ/mol of formula units
Magnetization = 6.4 μB per formula unit

Structure (extended XYZ):
```
7
Lattice="6.7820 0.0000 0.0000 -2.2607 6.3942 0.0000 -2.2607 -3.1971 5.5375" Properties=species:S:1:pos:R:3 pbc="T T T"
Mg -1.1303 0.7993 4.1531
Mg -1.1303 3.1971 2.7688
Mg 1.1303 3.9964 1.3844
Mg 3.3910 2.3978 1.3844
Mg 3.3910 0.0000 2.7688
Mg 1.1303 -0.7993 4.1531
Pu 0.0000 0.0000 0.0000
```

***

7.
Crystalline PuMg2 at its relaxed geometry. Source: the Alexandria database, functional PBE-GGA.

Summary:
Electronic total energy = -5.71 eV/atom
Energy of formation = 37 kJ/mol of formula units
Magnetization = 6.2 μB per formula unit

Structure (extended XYZ):
```
6
Lattice="6.0010 0.0000 0.0000 3.0005 5.1970 0.0000 3.0005 1.7323 4.8998" Properties=species:S:1:pos:R:3 pbc="T T T"
Mg 6.0010 1.7323 3.0624
Mg 7.5013 4.3309 3.0624
Mg 6.0010 3.4647 0.6125
Mg 4.5008 4.3309 3.0624
Pu 3.0005 1.7323 1.2250
Pu 0.0000 0.0000 0.0000
```

***

8.
Crystalline Pu2Mg17 at its relaxed geometry. Source: the Alexandria database, functional PBE-GGA.

Summary:
Electronic total energy = -2.87 eV/atom
Energy of formation = 121 kJ/mol of formula units
Magnetization = 12.3 μB per formula unit

Structure (extended XYZ):
```
19
Lattice="-3.3970 4.5243 -5.3892 3.3204 -3.1919 -6.3118 -5.8234 -4.8387 -1.9306" Properties=species:S:1:pos:R:3 pbc="T T T"
Mg -1.6985 2.2621 -2.6946
Mg 0.5574 -3.6895 -4.9879
Mg -2.9117 -2.4194 -0.9653
Mg -5.0902 -2.0095 -2.9757
Mg -0.9713 0.0960 -7.8746
Mg -1.3672 2.1927 -5.6680
Mg -5.3064 -3.1536 -12.2600
Mg -2.1568 -4.4788 -6.1848
Mg 1.2906 -0.8603 -6.0330
Mg -3.0604 -4.3411 -3.2545
Mg -3.7432 0.9724 -7.4468
Mg -0.5936 -0.3528 -1.3716
Mg -4.9287 -3.6024 -5.7569
Mg -5.4389 -0.7086 -5.7340
Mg -4.1302 1.6951 -4.3441
Mg -0.4611 -2.7978 -7.8976
Mg 1.6602 -1.5960 -3.1559
Pu -1.9553 -1.1620 -4.5176
Pu -3.9447 -2.3443 -9.1140
```

***

9.
Crystalline PuMg at its relaxed geometry. Source: the Alexandria database, functional PBE-GGA.

Summary:
Electronic total energy = -7.80 eV/atom
Energy of formation = 31 kJ/mol of formula units
Magnetization = 5.9 μB per formula unit

Structure (extended XYZ):
```
4
Lattice="5.4014 0.0000 0.0000 0.0000 3.0289 0.0000 0.0000 0.0000 6.1117" Properties=species:S:1:pos:R:3 pbc="T T T"
Mg 1.3504 0.0000 0.8422
Mg 4.0511 0.0000 5.2695
Pu 4.0511 1.5144 2.2038
Pu 1.3504 1.5144 3.9079
```

***

10.
Crystalline PuMg2 at its relaxed geometry. Source: the Alexandria database, functional PBE-GGA.

Summary:
Electronic total energy = -5.76 eV/atom
Energy of formation = 24 kJ/mol of formula units
Magnetization = 5.9 μB per formula unit

Structure (extended XYZ):
```
3
Lattice="3.1207 0.0000 0.0000 0.0000 3.1207 0.0000 -1.5603 -1.5603 7.4660" Properties=species:S:1:pos:R:3 pbc="T T T"
Pu 0.0000 0.0000 0.0000
Mg 0.0000 0.0000 4.9040
Mg 1.5603 1.5603 2.5619
```

***

11.
Crystalline Pu5Mg at its relaxed geometry. Source: the Alexandria database, functional PBE-GGA.

Summary:
Electronic total energy = -11.98 eV/atom
Energy of formation = 134 kJ/mol of formula units
Magnetization = 5.6 μB per formula unit

Structure (extended XYZ):
```
6
Lattice="4.6084 0.0000 0.0000 0.0000 4.5094 0.0000 0.0000 -2.2547 6.7663" Properties=species:S:1:pos:R:3 pbc="T T T"
Pu 0.0000 0.0000 4.4344
Pu 0.0000 2.2547 2.3319
Pu 2.3042 2.2547 4.5376
Pu 2.3042 2.2547 0.0000
Pu 2.3042 0.0000 2.2287
Mg 0.0000 0.0000 0.0000
```

***

12.
Crystalline Pu6Mg at its relaxed geometry. Source: the Alexandria database, functional PBE-GGA.

Summary:
Electronic total energy = -12.20 eV/atom
Energy of formation = 208 kJ/mol of formula units
Magnetization = 0.0 μB per formula unit

Structure (extended XYZ):
```
7
Lattice="-0.9906 5.5597 -1.2845 -4.2105 -1.9621 3.4588 5.0992 -0.4777 2.7040" Properties=species:S:1:pos:R:3 pbc="T T T"
Pu 2.2765 1.9310 2.2504
Pu -2.3784 1.1889 2.6278
Pu 0.7540 3.4404 1.2533
Pu -0.8559 -0.3205 3.6250
Pu -1.5734 3.0693 1.4420
Pu 1.4715 0.0506 3.4362
Mg 0.0000 0.0000 0.0000
```

***

13.
Crystalline Rb3Pu3MgS8 at its relaxed geometry. Source: the Alexandria database, functional PBE-GGA.

Summary:
Electronic total energy = -6.82 eV/atom
Magnetization = 13.0 μB per formula unit

Structure (extended XYZ):
```
15
Lattice="-3.6979 -1.3422 6.9907 7.9863 -0.5689 -0.4869 -3.4485 8.3381 -0.2270" Properties=species:S:1:pos:R:3 pbc="T T T"
S -1.4053 4.5052 4.7223
S 2.2452 1.9218 1.5545
S -1.7425 2.2687 1.8083
S 0.4079 1.3123 5.0675
S 4.4366 4.8298 0.9654
S -3.5966 1.5972 5.3114
S 2.5824 4.1583 4.4685
S 0.4320 5.1147 1.2093
Mg -1.7243 4.1690 -0.1135
Pu -3.5732 3.4980 3.3819
Pu 0.4200 3.2135 3.1384
Pu 2.2689 3.8846 -0.3569
Rb 3.9932 -0.2845 -0.2434
Rb 2.1442 -0.9555 3.2519
Rb 0.0000 0.0000 0.0000
```

***

14.
Crystalline RbPuMgS3 at its relaxed geometry. Source: the Alexandria database, functional PBE-GGA.

Summary:
Electronic total energy = -6.35 eV/atom
Magnetization = 5.0 μB per formula unit

Structure (extended XYZ):
```
12
Lattice="4.1680 0.0000 0.0000 0.0000 9.0195 0.2542 0.0000 -3.2191 9.3550" Properties=species:S:1:pos:R:3 pbc="T T T"
S 1.0420 5.8205 4.4989
S 3.1260 -0.0200 5.1103
S 3.1260 3.7625 1.4763
S 3.1260 7.4496 1.5308
S 1.0420 2.0380 8.1329
S 1.0420 -1.6491 8.0784
Mg 3.1260 6.9847 3.8880
Mg 1.0420 -1.1842 5.7212
Rb 1.0420 1.1375 2.1560
Rb 3.1260 4.6629 7.4532
Pu 3.1260 0.2330 8.1327
Pu 1.0420 5.5675 1.4764
```

***

15.
Crystalline Rb2Pu2MgS6 at its relaxed geometry. Source: the Alexandria database, functional PBE-GGA.

Summary:
Electronic total energy = -6.59 eV/atom
Magnetization = 8.0 μB per formula unit

Structure (extended XYZ):
```
11
Lattice="-0.9166 0.0654 -6.7951 -0.6105 -5.8630 3.5029 -7.1229 3.2940 2.1080" Properties=species:S:1:pos:R:3 pbc="T T T"
S -3.3976 -4.4380 -0.1420
S -5.2524 1.9344 -1.0421
S -2.6964 -0.5222 -0.2205
S -5.9537 -1.9815 -0.9637
S -5.1492 -0.0635 2.4284
S -3.5008 -2.4401 -3.6125
Pu -4.3759 -0.2672 -2.3024
Pu -4.2742 -2.2364 1.1183
Rb -0.6607 -4.8919 1.8160
Rb -0.8665 -0.9058 -5.1082
Mg -3.5614 1.6470 1.0540
```

***

16.
Crystalline RbPuMgSe3 at its relaxed geometry. Source: the Alexandria database, functional PBE-GGA.

Summary:
Electronic total energy = -5.91 eV/atom
Magnetization = 5.0 μB per formula unit

Structure (extended XYZ):
```
12
Lattice="4.3312 0.0000 0.0000 0.0000 9.3355 -0.3215 0.0000 -2.8092 9.8802" Properties=species:S:1:pos:R:3 pbc="T T T"
Se 3.2484 7.8500 1.0710
Se 3.2484 0.3517 5.2638
Se 3.2484 3.9519 1.3409
Se 1.0828 2.5744 8.2178
Se 1.0828 6.1746 4.2948
Se 1.0828 -1.3237 8.4877
Rb 1.0828 1.3082 2.2012
Rb 3.2484 5.2181 7.3575
Mg 1.0828 -0.8984 5.9857
Mg 3.2484 7.4247 3.5730
Pu 3.2484 0.6653 8.3961
Pu 1.0828 5.8610 1.1625
```

***

17.
Crystalline Rb3Pu3MgSe8 at its relaxed geometry. Source: the Alexandria database, functional PBE-GGA.

Summary:
Electronic total energy = -6.32 eV/atom
Magnetization = 4.4 μB per formula unit

Structure (extended XYZ):
```
15
Lattice="-0.1814 8.0920 2.1739 0.5060 -5.9248 5.9383 7.7917 1.5385 -5.0806" Properties=species:S:1:pos:R:3 pbc="T T T"
Pu 4.0581 1.8529 1.5158
Pu 3.8052 4.8152 -1.4533
Pu 4.1488 -2.1931 0.4289
Se 2.5796 3.5144 3.2862
Se 2.3274 6.5014 0.3200
Se 5.7889 -2.7957 2.7116
Se 5.6976 1.2982 3.8113
Se 5.5205 4.2429 0.8204
Se 2.4187 2.4076 -0.7797
Se 2.5958 -0.5372 2.2112
Se 5.5367 0.1913 -0.2546
Rb 0.0000 0.0000 0.0000
Rb 0.2530 -2.9624 2.9691
Rb 0.1623 1.0836 4.0561
Mg 3.8959 0.7693 -2.5403
```

***

18.
Crystalline Rb3Pu2MgTe6 at its relaxed geometry. Source: the Alexandria database, functional PBE-GGA.

Summary:
Electronic total energy = -5.33 eV/atom
Magnetization = 9.0 μB per formula unit

Structure (extended XYZ):
```
12
Lattice="7.8654 -0.0010 -0.0004 -3.9316 6.8123 -0.0004 -1.3124 -2.2724 8.4803" Properties=species:S:1:pos:R:3 pbc="T T T"
Rb 5.2415 -0.0007 4.2398
Rb 1.3107 2.2695 4.2398
Rb -2.6201 4.5396 4.2398
Te -1.2962 2.2452 1.6486
Te 3.9176 2.2937 6.8310
Te 2.5925 -0.0007 1.6486
Te -0.0151 -0.0262 6.8306
Te 2.6365 4.5651 1.6489
Te 0.0289 4.5396 6.8310
Mg 0.0000 0.0000 0.0000
Pu 3.9330 2.2702 -0.0004
Pu 0.0008 4.5412 -0.0004
```

***

19.
Crystalline PuMgRe at its relaxed geometry. Source: the Alexandria database, functional PBE-GGA.

Summary:
Electronic total energy = -9.17 eV/atom
Energy of formation = 84 kJ/mol of formula units
Magnetization = 4.6 μB per formula unit

Structure (extended XYZ):
```
6
Lattice="3.0268 0.0000 0.0000 -1.5134 4.9265 0.7875 0.0000 -0.7899 8.1481" Properties=species:S:1:pos:R:3 pbc="T T T"
Pu 1.5134 4.1028 2.2257
Pu 0.0000 0.0339 6.7099
Re 1.5134 2.2129 7.5000
Re 0.0000 1.9237 1.4356
Mg 0.0000 3.1040 5.2408
Mg 1.5134 1.0327 3.6948
```

***

20.
Crystalline PuMgReRu at its relaxed geometry. Source: the Alexandria database, functional PBE-GGA.

Summary:
Electronic total energy = -9.29 eV/atom
Energy of formation = 47 kJ/mol of formula units
Magnetization = 3.2 μB per formula unit

Structure (extended XYZ):
```
4
Lattice="4.5941 0.0000 0.0000 2.2970 3.9786 0.0000 2.2970 1.3262 3.7511" Properties=species:S:1:pos:R:3 pbc="T T T"
Pu 4.5941 2.6524 1.8755
Mg 0.0000 0.0000 0.0000
Re 6.8911 3.9786 2.8133
Ru 2.2970 1.3262 0.9378
```